No. 1
VASP calculation (GGA-PBE) on a relaxed structure of NaCa2YTe4.

Output
For the total moment, the calculation gives 0.0 μB/cell. For the volume, the calculation gives 256.0 Å³/f.u. The value obtained for the total energy is -4.50 eV/atom. Its formation energy (no corrections) is -1.46 eV per atom. As for the space group: No. 10. Its density is 4.56 g/cm³.

a = 4.492 Å, b = 7.794 Å, c = 7.716 Å
α = 108.67°, β = 90.00°, γ = 90.00°
Element x y z (fractional)
Y 0.000 0.000 0.000
Te 0.000 0.759 0.249
Ca 0.500 0.000 0.500
Te 0.000 0.241 0.751
Ca 0.000 0.500 0.500
Te 0.500 0.243 0.242
Na 0.500 0.500 0.000
Te 0.500 0.757 0.758

No. 2
VASP calculation (GGA-PBE) on a relaxed structure of CuTe2As.

Output
For the total moment, the calculation gives 0.0 μB/cell. For the volume, the calculation gives 108.2 Å³/f.u. The value obtained for the total energy is -3.63 eV/atom. Its formation energy (no corrections) is 0.12 eV per atom. As for the space group: No. 8. Its density is 6.04 g/cm³.

a = 7.285 Å, b = 7.285 Å, c = 4.011 Å
α = 105.59°, β = 105.59°, γ = 31.96°
Element x y z (fractional)
Cu 0.789 0.789 0.792
Te 0.261 0.261 0.264
Te 0.992 0.992 0.988
As 0.458 0.458 0.456

No. 3
VASP calculation (GGA-PBE) on a relaxed structure of Li2BeAg.

Output
For the total moment, the calculation gives 0.0 μB/cell. The calculation puts the energy of formation at 187.9 meV/atom. For the volume, the calculation gives 59.4 Å³/f.u. The value obtained for the total energy is -2.41 eV/atom. As for the space group: No. 166. Its density is 3.65 g/cm³.

a = 9.140 Å, b = 9.140 Å, c = 9.140 Å
α = 17.38°, β = 17.38°, γ = 17.38°
Element x y z (fractional)
Li 0.504 0.504 0.504
Ag 0.750 0.750 0.750
Li 0.996 0.996 0.996
Be 0.250 0.250 0.250

No. 4
VASP calculation (GGA-PBE) on a relaxed structure of VTcAuN2.

Output
For the total moment, the calculation gives 2.9 μB/cell. For the volume, the calculation gives 79.7 Å³/f.u. The value obtained for the total energy is -5.46 eV/atom. Its formation energy (no corrections) is 2.43 eV per atom. As for the space group: No. 123. Its density is 7.79 g/cm³.

a = 3.843 Å, b = 5.394 Å, c = 3.843 Å
α = 90.00°, β = 90.00°, γ = 90.00°
Site moments in Bohr magnetons follow the coordinates.
Element x y z (fractional)
V 0.500 0.500 0.500  0.48
N 0.500 0.000 0.000  0.76
Tc 0.000 0.500 0.000  0.47
Au 0.000 0.000 0.000  0.21
N 0.000 0.000 0.500  0.51

No. 5
VASP calculation (GGA-PBE) on a relaxed structure of Ba9Na3Rh2.

Output
For the total moment, the calculation gives 0.0 μB/cell. The calculation puts the energy of formation at -130.5 meV/atom. For the volume, the calculation gives 724.0 Å³/f.u. The value obtained for the total energy is -2.70 eV/atom. As for the space group: No. 194. Its density is 3.46 g/cm³.

a = 8.794 Å, b = 8.794 Å, c = 21.622 Å
α = 90.00°, β = 90.00°, γ = 120.00°
Element x y z (fractional)
Ba 0.344 0.172 0.415
Ba 0.828 0.656 0.415
Ba 0.656 0.828 0.915
Na 0.667 0.333 0.582
Na 0.667 0.333 0.918
Ba 0.006 0.503 0.750
Na 0.000 0.000 0.750
Ba 0.503 0.497 0.250
Rh 0.667 0.333 0.164
Ba 0.497 0.503 0.750
Rh 0.667 0.333 0.336
Ba 0.172 0.344 0.915
Rh 0.333 0.667 0.836
Ba 0.172 0.344 0.585
Ba 0.994 0.497 0.250
Na 0.333 0.667 0.082
Rh 0.333 0.667 0.664
Ba 0.172 0.828 0.585
Ba 0.344 0.172 0.085
Ba 0.828 0.172 0.085
Ba 0.172 0.828 0.915
Ba 0.656 0.828 0.585
Ba 0.497 0.994 0.750
Na 0.000 0.000 0.250
Ba 0.828 0.656 0.085
Na 0.333 0.667 0.418
Ba 0.828 0.172 0.415
Ba 0.503 0.006 0.250

No. 6
VASP calculation (GGA-PBE) on a relaxed structure of Cs12Li3Au5.

Output
For the total moment, the calculation gives 0.0 μB/cell. The calculation puts the energy of formation at -39.6 meV/atom. For the volume, the calculation gives 1463.9 Å³/f.u. The value obtained for the total energy is -1.66 eV/atom. As for the space group: No. 230. Its density is 2.95 g/cm³.

a = 19.667 Å, b = 19.667 Å, c = 19.667 Å
α = 109.47°, β = 109.47°, γ = 109.47°
Element x y z (fractional)
Au 0.875 0.250 0.625
Au 0.250 0.375 0.625
Li 0.875 0.750 0.125
Cs 0.824 0.912 0.293
Cs 0.088 0.176 0.469
Cs 0.412 0.293 0.324
Au 0.375 0.250 0.125
Au 0.000 0.000 0.000
Cs 0.620 0.588 0.912
Au 0.000 0.000 0.500
Li 0.125 0.875 0.750
Cs 0.031 0.620 0.707
Cs 0.588 0.969 0.676
Cs 0.912 0.088 0.620
Cs 0.880 0.588 0.912
Au 0.500 0.500 0.000
Cs 0.620 0.031 0.207
Au 0.000 0.500 0.000
Cs 0.412 0.380 0.588
Cs 0.676 0.469 0.588
Au 0.625 0.875 0.250
Cs 0.293 0.880 0.969
Au 0.125 0.750 0.375
Au 0.375 0.125 0.750
Cs 0.707 0.588 0.176
Cs 0.088 0.912 0.120
Cs 0.207 0.676 0.088
Au 0.750 0.625 0.375
Cs 0.531 0.324 0.912
Au 0.000 0.500 0.500
Au 0.625 0.750 0.875
Li 0.375 0.750 0.625
Au 0.500 0.000 0.500
Cs 0.531 0.207 0.120
Cs 0.412 0.031 0.324
Cs 0.912 0.824 0.793
Au 0.250 0.875 0.125
Au 0.500 0.000 0.000
Cs 0.380 0.412 0.088
Cs 0.412 0.120 0.588
Cs 0.293 0.412 0.824
Cs 0.969 0.380 0.293
Li 0.125 0.250 0.875
Cs 0.088 0.912 0.380
Li 0.250 0.125 0.375
Li 0.625 0.250 0.375
Cs 0.176 0.088 0.707
Cs 0.324 0.793 0.412
Li 0.750 0.875 0.625
Cs 0.469 0.676 0.088
Cs 0.588 0.880 0.412
Cs 0.120 0.707 0.531
Cs 0.793 0.324 0.912
Cs 0.324 0.531 0.412
Cs 0.824 0.912 0.031
Cs 0.912 0.824 0.531
Cs 0.588 0.620 0.412
Li 0.375 0.625 0.250
Li 0.625 0.375 0.750
Li 0.875 0.125 0.250
Cs 0.969 0.588 0.176
Au 0.500 0.500 0.500
Au 0.875 0.625 0.750
Cs 0.912 0.088 0.880
Cs 0.031 0.412 0.824
Li 0.250 0.625 0.875
Li 0.750 0.375 0.125
Au 0.125 0.375 0.250
Cs 0.707 0.120 0.031
Au 0.750 0.125 0.875
Cs 0.469 0.793 0.880
Cs 0.588 0.707 0.676
Cs 0.880 0.293 0.469
Cs 0.088 0.176 0.207
Cs 0.176 0.088 0.969
Cs 0.676 0.207 0.588
Cs 0.793 0.469 0.380
Cs 0.207 0.531 0.620
Cs 0.120 0.412 0.088
Cs 0.380 0.969 0.793